DFT (PBE-GGA) results for DyMgPb2 after structural relaxation.

Cell and atoms, written as extended XYZ:
```
4
Lattice="4.6241 0.0000 0.0000 2.3121 4.0046 0.0000 2.3121 1.3349 6.5092" Properties=species:S:1:pos:R:3 pbc="T T T"
Dy 6.9362 4.0046 6.3860
Mg 4.6241 2.6697 3.3943
Pb 2.3121 1.3349 4.8071
Pb 2.3121 1.3349 1.6856
```

Values from the calculation:
Volume, A^3/atom: 30.134
Total DFT energy (no corrections), eV/atom: -3.565
Space group: No. 160
Formation energy from the elements, eV per formula unit: -0.65